No. 1
A plane-wave DFT calculation with GGA-PBE was carried out for a relaxed structure of BaLiZrBi2.

Computed properties:
Its total energy is -4.203 eV/atom. The value obtained for the density is 5.997 Mg/m³. As for the crystal system: tetragonal. For the magnetization, the calculation gives 0.413 μB per formula unit. The formation energy is -0.17 eV per atom. Its symmetry is P4/mmm (123).

POSCAR file:
```
BaLiZrBi2
1.0
5.7060 0.0000 0.0000
0.0000 5.7060 0.0000
0.0000 0.0000 5.5570
Ba Li Zr Bi
1 1 1 2
Direct
0.0000 0.0000 0.0000 Ba
0.5000 0.5000 0.0000 Li
0.5000 0.5000 0.5000 Zr
0.0000 0.5000 0.5000 Bi
0.5000 0.0000 0.5000 Bi
```

---

No. 2
A plane-wave DFT calculation with GGA-PBE was carried out for a relaxed structure of Sr2HgPtN.

Computed properties:
Its total energy is -4.180 eV/atom. The value obtained for the density is 8.126 Mg/m³. As for the crystal system: tetragonal. The value obtained for the formation energy from raw total energies is -0.573 eV/atom. For the magnetization, the calculation gives 0.000 μB per formula unit. The value obtained for the excess energy over the best structure of this formula in the dataset is 0.000 eV per atom. Its symmetry is P4/mmm (123).

POSCAR file:
```
Sr2HgPtN
1.0
5.5489 0.0000 0.0000
0.0000 5.5489 0.0000
0.0000 0.0000 3.8819
Sr Hg Pt N
2 1 1 1
Direct
0.0000 0.5000 0.0000 Sr
0.5000 0.0000 0.0000 Sr
0.0000 0.0000 0.5000 Hg
0.5000 0.5000 0.5000 Pt
0.5000 0.5000 0.0000 N
```

---

No. 3
A plane-wave DFT calculation with GGA-PBE was carried out for a relaxed structure of Cs3Pr3OsO8.

Computed properties:
Its total energy is -6.620 eV/atom. The value obtained for the density is 6.094 Mg/m³. As for the crystal system: trigonal. The value obtained for the formation energy from raw total energies is -2.100 eV/atom. For the magnetization, the calculation gives 2.000 μB per formula unit. Its symmetry is R-3m (166).

POSCAR file:
```
Cs3Pr3OsO8
1.0
3.5956 2.0759 6.9344
-3.5956 2.0759 6.9344
0.0000 -4.1518 6.9344
Cs Pr Os O
3 3 1 8
Direct
0.0000 0.5000 0.5000 Cs
0.5000 0.0000 0.5000 Cs
0.5000 0.5000 0.0000 Cs
0.0000 0.0000 0.5000 Pr
0.0000 0.5000 0.0000 Pr
0.5000 0.0000 0.0000 Pr
0.5000 0.5000 0.5000 Os
0.2235 0.2235 0.2235 O
0.2557 0.6986 0.6986 O
0.3014 0.3014 0.7443 O
0.3014 0.7443 0.3014 O
0.6986 0.2557 0.6986 O
0.6986 0.6986 0.2557 O
0.7443 0.3014 0.3014 O
0.7765 0.7765 0.7765 O
```

---

No. 4
A plane-wave DFT calculation with GGA-PBE was carried out for a relaxed structure of Nd3YCd2.

Computed properties:
Its total energy is -3.960 eV/atom. The value obtained for the density is 6.755 Mg/m³. As for the crystal system: tetragonal. For the magnetization, the calculation gives 0.257 μB per formula unit. The value obtained for the excess energy over the best structure of this formula in the dataset is 0.000 eV per atom. The formation energy is -0.19 eV per atom. Its symmetry is P4/mmm (123).

POSCAR file:
```
Nd3YCd2
1.0
3.7865 0.0000 0.0000
0.0000 3.7865 0.0000
0.0000 0.0000 12.7992
Nd Y Cd
3 1 2
Direct
0.0000 0.0000 0.0000 Nd
0.0000 0.0000 0.3081 Nd
0.0000 0.0000 0.6919 Nd
0.5000 0.5000 0.5000 Y
0.5000 0.5000 0.1554 Cd
0.5000 0.5000 0.8446 Cd
```

---

No. 5
A plane-wave DFT calculation with GGA-PBE was carried out for a relaxed structure of NiAgW2.

Computed properties:
Its total energy is -8.019 eV/atom. The value obtained for the density is 14.318 Mg/m³. As for the crystal system: tetragonal. For the magnetization, the calculation gives 0.001 μB per formula unit. The value obtained for the excess energy over the best structure of this formula in the dataset is 0.361 eV per atom. The formation energy is 0.62 eV per atom. Its symmetry is P4/mmm (123).

POSCAR file:
```
NiAgW2
1.0
3.3088 0.0000 0.0000
0.0000 3.3088 0.0000
0.0000 0.0000 5.6593
Ni Ag W
1 1 2
Direct
0.0000 0.0000 0.0000 Ni
0.0000 0.0000 0.5000 Ag
0.5000 0.5000 0.2111 W
0.5000 0.5000 0.7889 W
```

---

No. 6
A plane-wave DFT calculation with GGA-PBE was carried out for a relaxed structure of Ac4Sn5Ir2.

Computed properties:
Its total energy is -5.561 eV/atom. The value obtained for the density is 9.386 Mg/m³. As for the crystal system: monoclinic. For the magnetization, the calculation gives 0.000 μB per formula unit. The formation energy is -0.64 eV per atom. Its symmetry is P2/m (10).

POSCAR file:
```
Ac4Sn5Ir2
1.0
7.8445 0.0000 0.0000
0.0000 4.6420 0.0000
-0.0758 0.0000 9.1632
Ac Sn Ir
4 5 2
Direct
0.2102 0.0000 0.1462 Ac
0.2348 0.0000 0.5961 Ac
0.7652 0.0000 0.4039 Ac
0.7898 0.0000 0.8538 Ac
0.1193 0.5000 0.8676 Sn
0.4249 0.5000 0.3460 Sn
0.5000 0.5000 0.0000 Sn
0.5751 0.5000 0.6540 Sn
0.8807 0.5000 0.1324 Sn
0.0767 0.5000 0.3794 Ir
0.9233 0.5000 0.6206 Ir
```

---

No. 7
A plane-wave DFT calculation with GGA-PBE was carried out for a relaxed structure of TcAgMo2.

Computed properties:
Its total energy is -8.370 eV/atom. The value obtained for the density is 10.323 Mg/m³. As for the crystal system: monoclinic. For the magnetization, the calculation gives 0.000 μB per formula unit. The value obtained for the excess energy over the best structure of this formula in the dataset is 0.075 eV per atom. The formation energy is 0.35 eV per atom. Its symmetry is P2/m (10).

POSCAR file:
```
TcAgMo2
1.0
2.8152 0.0000 0.0000
0.0000 4.0149 0.0000
-0.0130 0.0000 5.6610
Tc Ag Mo
1 1 2
Direct
0.0000 0.0000 0.0000 Tc
0.0000 0.0000 0.5000 Ag
0.4991 0.5000 0.2235 Mo
0.5009 0.5000 0.7765 Mo
```

---

No. 8
A plane-wave DFT calculation with GGA-PBE was carried out for a relaxed structure of La2Zn12Cu3Rh.

Computed properties:
Its total energy is -2.551 eV/atom. The value obtained for the density is 6.834 Mg/m³. As for the crystal system: trigonal. For the magnetization, the calculation gives 0.000 μB per formula unit. The formation energy is -0.06 eV per atom. Its symmetry is R-3m (166).

POSCAR file:
```
La2Zn12Cu3Rh
1.0
2.9738 1.7169 10.7572
-2.9738 1.7169 10.7572
0.0000 -3.4338 10.7572
La Zn Cu Rh
2 12 3 1
Direct
0.1429 0.1429 0.1429 La
0.8571 0.8571 0.8571 La
0.0945 0.0945 0.6614 Zn
0.0945 0.6614 0.0945 Zn
0.1196 0.5976 0.5976 Zn
0.3386 0.9055 0.9055 Zn
0.4024 0.4024 0.8804 Zn
0.4024 0.8804 0.4024 Zn
0.5976 0.1196 0.5976 Zn
0.5976 0.5976 0.1196 Zn
0.6614 0.0945 0.0945 Zn
0.8804 0.4024 0.4024 Zn
0.9055 0.3386 0.9055 Zn
0.9055 0.9055 0.3386 Zn
0.0000 0.5000 0.5000 Cu
0.5000 0.0000 0.5000 Cu
0.5000 0.5000 0.0000 Cu
0.5000 0.5000 0.5000 Rh
```

---

No. 9
A plane-wave DFT calculation with GGA-PBE was carried out for a relaxed structure of Er2InGa.

Computed properties:
Its total energy is -4.227 eV/atom. The value obtained for the density is 8.946 Mg/m³. As for the crystal system: tetragonal. For the magnetization, the calculation gives 0.000 μB per formula unit. The value obtained for the excess energy over the best structure of this formula in the dataset is 0.000 eV per atom. The formation energy is -0.50 eV per atom. Its symmetry is P4/mmm (123).

POSCAR file:
```
Er2InGa
1.0
3.4678 0.0000 0.0000
0.0000 3.4678 0.0000
0.0000 0.0000 8.0116
Er In Ga
2 1 1
Direct
0.0000 0.0000 0.2323 Er
0.0000 0.0000 0.7677 Er
0.5000 0.5000 0.5000 In
0.5000 0.5000 0.0000 Ga
```

---

No. 10
A plane-wave DFT calculation with GGA-PBE was carried out for a relaxed structure of SiSnHgGe2.

Computed properties:
Its total energy is -3.249 eV/atom. The value obtained for the density is 6.571 Mg/m³. As for the crystal system: tetragonal. The value obtained for the formation energy from raw total energies is 0.544 eV/atom. For the magnetization, the calculation gives 0.000 μB per formula unit. Its symmetry is P4/mmm (123).

POSCAR file:
```
SiSnHgGe2
1.0
4.8052 0.0000 0.0000
0.0000 4.8052 0.0000
0.0000 0.0000 5.3922
Si Sn Hg Ge
1 1 1 2
Direct
0.0000 0.0000 0.0000 Si
0.0000 0.0000 0.5000 Sn
0.5000 0.5000 0.5000 Hg
0.0000 0.5000 0.0000 Ge
0.5000 0.0000 0.0000 Ge
```

---

No. 11
A plane-wave DFT calculation with GGA-PBE was carried out for a relaxed structure of Eu2RhI.

Computed properties:
Its total energy is -8.125 eV/atom. The value obtained for the density is 7.962 Mg/m³. As for the crystal system: tetragonal. The value obtained for the formation energy from raw total energies is -0.763 eV/atom. For the magnetization, the calculation gives 13.928 μB per formula unit. The value obtained for the excess energy over the best structure of this formula in the dataset is 0.043 eV per atom. Its symmetry is P4/mmm (123).

POSCAR file:
```
Eu2RhI
1.0
3.6988 0.0000 0.0000
0.0000 3.6988 0.0000
0.0000 0.0000 8.1365
Eu Rh I
2 1 1
Direct
0.0000 0.0000 0.2069 Eu
0.0000 0.0000 0.7931 Eu
0.5000 0.5000 0.0000 Rh
0.5000 0.5000 0.5000 I
```

---

No. 12
A plane-wave DFT calculation with GGA-PBE was carried out for a relaxed structure of Cr2AgAu.

Computed properties:
Its total energy is -5.932 eV/atom. The value obtained for the density is 9.898 Mg/m³. As for the crystal system: tetragonal. For the magnetization, the calculation gives 8.224 μB per formula unit. The value obtained for the excess energy over the best structure of this formula in the dataset is 0.233 eV per atom. The formation energy is 0.41 eV per atom. Its symmetry is P4/mmm (123).

POSCAR file:
```
Cr2AgAu
1.0
4.5522 0.0000 0.0000
0.0000 4.5522 0.0000
0.0000 0.0000 3.3097
Cr Ag Au
2 1 1
Direct
0.0000 0.5000 0.0000 Cr
0.5000 0.0000 0.0000 Cr
0.0000 0.0000 0.5000 Ag
0.5000 0.5000 0.5000 Au
```

---

No. 13
A plane-wave DFT calculation with GGA-PBE was carried out for a relaxed structure of Pa4Sn.

Computed properties:
Its total energy is -6.990 eV/atom. The value obtained for the density is 9.886 Mg/m³. As for the crystal system: cubic. For the magnetization, the calculation gives 2.270 μB per formula unit. The value obtained for the excess energy over the best structure of this formula in the dataset is 0.626 eV per atom. The formation energy is 1.41 eV per atom. Its symmetry is Pm-3m (221).

POSCAR file:
```
Pa4Sn
1.0
5.5952 0.0000 0.0000
0.0000 5.5952 0.0000
0.0000 0.0000 5.5952
Pa Sn
4 1
Direct
0.0000 0.0000 0.0000 Pa
0.0000 0.5000 0.5000 Pa
0.5000 0.0000 0.5000 Pa
0.5000 0.5000 0.0000 Pa
0.5000 0.5000 0.5000 Sn
```